A relaxed Pm2Y2H crystal, computed with GGA-PBE.

Unit cell a=5.071 b=5.071 c=5.081 alpha=90.00 beta=90.00 gamma=90.00
Atoms (fractional coordinates):
Pm1 0.000 0.000 0.000
Pm2 0.500 0.500 0.000
Y1 0.000 0.500 0.500
Y2 0.500 0.000 0.500
H1 0.000 0.000 0.500

VASP energy = -5.325 eV/atom